# 1
First-principles (PBE-GGA) data for an optimized crystal structure of Ta2NbIn2S6, as listed in Alexandria.

```
Ta2NbIn2S6
1.0
2.923 -5.050 0.000
2.923 5.050 0.000
-1.748 0.000 8.378
Ta Nb In S
2 1 2 6
direct
0.155 0.845 0.000
0.845 0.155 0.000
0.500 0.500 0.000
0.208 0.792 0.500
0.792 0.208 0.500
0.110 0.110 0.805
0.216 0.556 0.182
0.444 0.784 0.818
0.556 0.216 0.182
0.784 0.444 0.818
0.890 0.890 0.195
```

Summary:
The raw formation energy comes out at -827 meV per atom. The calculation puts the final energy at -6.647 eV/atom. For the theoretical density, the calculation gives 5.89 g/cm3.

***

# 2
First-principles (PBE-GGA) data for an optimized crystal structure of NbInTcS3, as listed in Alexandria.

```
NbInTcS3
1.0
8.050 0.000 0.000
0.000 3.417 0.000
-3.798 0.000 9.334
Nb In Tc S
2 2 2 6
direct
0.034 0.250 0.332
0.966 0.750 0.668
0.480 0.750 0.772
0.520 0.250 0.228
0.032 0.750 0.112
0.968 0.250 0.888
0.172 0.250 0.612
0.177 0.750 0.928
0.263 0.750 0.344
0.737 0.250 0.656
0.823 0.250 0.072
0.828 0.750 0.388
```

Summary:
The raw formation energy comes out at -643 meV per atom. The calculation puts the final energy at -6.570 eV/atom. For the theoretical density, the calculation gives 5.20 g/cm3.

***

# 3
First-principles (PBE-GGA) data for an optimized crystal structure of ZrNb2In2S6, as listed in Alexandria.

```
ZrNb2In2S6
1.0
3.067 -5.278 0.000
3.067 5.278 0.000
-1.744 0.000 7.731
Zr Nb In S
1 2 2 6
direct
0.000 0.000 0.000
0.360 0.640 0.000
0.640 0.360 0.000
0.173 0.827 0.500
0.827 0.173 0.500
0.053 0.402 0.189
0.266 0.266 0.785
0.402 0.053 0.189
0.598 0.947 0.811
0.734 0.734 0.215
0.947 0.598 0.811
```

Summary:
The raw formation energy comes out at -944 meV per atom. The calculation puts the final energy at -6.301 eV/atom. For the theoretical density, the calculation gives 4.64 g/cm3.

***

# 4
First-principles (PBE-GGA) data for an optimized crystal structure of NbInSb3, as listed in Alexandria.

```
NbInSb3
1.0
5.410 0.000 0.000
0.000 5.410 0.000
0.000 0.000 5.410
Nb In Sb
1 1 3
direct
0.000 0.000 0.000
0.500 0.500 0.500
0.000 0.000 0.500
0.000 0.500 0.000
0.500 0.000 0.000
```

Summary:
The raw formation energy comes out at 266 meV per atom. The calculation puts the final energy at -4.769 eV/atom. For the theoretical density, the calculation gives 6.01 g/cm3. The polymorph energy (0 for the lowest one) is 0.0000 eV per atom.

***

# 5
First-principles (PBE-GGA) data for an optimized crystal structure of Nb2InSb, as listed in Alexandria.

```
Nb2InSb
1.0
-2.071 2.071 10.273
2.071 -2.071 10.273
2.071 2.071 -10.273
Nb In Sb
4 2 2
direct
0.111 0.625 0.986
0.375 0.361 0.486
0.639 0.125 0.014
0.875 0.889 0.514
0.000 0.000 0.000
0.750 0.250 0.500
0.250 0.750 0.500
0.500 0.500 0.000
```

Summary:
The raw formation energy comes out at 375 meV per atom. The calculation puts the final energy at -6.375 eV/atom. For the theoretical density, the calculation gives 7.96 g/cm3. The polymorph energy (0 for the lowest one) is 0.2110 eV per atom.

***

# 6
First-principles (PBE-GGA) data for an optimized crystal structure of NbIn2Sb2, as listed in Alexandria.

```
NbIn2Sb2
1.0
-2.029 2.029 8.411
2.029 -2.029 8.411
2.029 2.029 -8.411
Nb In Sb
1 2 2
direct
0.000 0.000 0.000
0.414 0.414 0.000
0.586 0.586 0.000
0.250 0.750 0.500
0.750 0.250 0.500
```

Summary:
The raw formation energy comes out at 675 meV per atom. The calculation puts the final energy at -4.083 eV/atom. For the theoretical density, the calculation gives 6.78 g/cm3. The polymorph energy (0 for the lowest one) is 0.4290 eV per atom.

***

# 7
First-principles (PBE-GGA) data for an optimized crystal structure of NbInSb3, as listed in Alexandria.

```
NbInSb3
1.0
5.436 0.000 0.000
0.000 5.436 0.000
0.000 0.000 5.436
Nb In Sb
1 1 3
direct
0.000 0.000 0.000
0.500 0.500 0.500
0.000 0.500 0.500
0.500 0.000 0.500
0.500 0.500 0.000
```

Summary:
The raw formation energy comes out at 1447 meV per atom. The calculation puts the final energy at -3.588 eV/atom. For the theoretical density, the calculation gives 5.92 g/cm3. The polymorph energy (0 for the lowest one) is 1.1817 eV per atom.

***

# 8
First-principles (PBE-GGA) data for an optimized crystal structure of NbIn2Sb2, as listed in Alexandria.

```
NbIn2Sb2
1.0
7.772 0.000 0.000
0.000 7.772 0.000
0.000 0.000 4.120
Nb In Sb
2 4 4
direct
0.000 0.000 0.000
0.500 0.500 0.000
0.138 0.362 0.000
0.362 0.862 0.000
0.638 0.138 0.000
0.862 0.638 0.000
0.172 0.672 0.500
0.328 0.172 0.500
0.672 0.828 0.500
0.828 0.328 0.500
```

Summary:
The raw formation energy comes out at 467 meV per atom. The calculation puts the final energy at -4.291 eV/atom. For the theoretical density, the calculation gives 7.55 g/cm3. The polymorph energy (0 for the lowest one) is 0.2205 eV per atom.

***

# 9
First-principles (PBE-GGA) data for an optimized crystal structure of NbIn2Sb2, as listed in Alexandria.

```
NbIn2Sb2
1.0
7.345 0.000 0.000
0.000 7.345 0.000
0.000 0.000 4.783
Nb In Sb
2 4 4
direct
0.000 0.000 0.000
0.500 0.500 0.000
0.166 0.334 0.500
0.334 0.834 0.500
0.666 0.166 0.500
0.834 0.666 0.500
0.148 0.648 0.000
0.352 0.148 0.000
0.648 0.852 0.000
0.852 0.352 0.000
```

Summary:
The raw formation energy comes out at 246 meV per atom. The calculation puts the final energy at -4.512 eV/atom. For the theoretical density, the calculation gives 7.29 g/cm3. The polymorph energy (0 for the lowest one) is 0.0000 eV per atom.

***

# 10
First-principles (PBE-GGA) data for an optimized crystal structure of NbInSb2, as listed in Alexandria.

```
NbInSb2
1.0
3.516 0.000 0.000
0.000 3.516 0.000
0.000 0.000 7.873
Nb In Sb
1 1 2
direct
0.000 0.000 0.000
0.000 0.000 0.500
0.500 0.500 0.202
0.500 0.500 0.798
```

Summary:
The raw formation energy comes out at -32 meV per atom. The calculation puts the final energy at -5.295 eV/atom. For the theoretical density, the calculation gives 7.70 g/cm3.

***

# 11
First-principles (PBE-GGA) data for an optimized crystal structure of Nb2InSb2, as listed in Alexandria.

```
Nb2InSb2
1.0
8.111 0.000 0.000
0.000 8.111 0.000
0.000 0.000 3.348
Nb In Sb
4 2 4
direct
0.150 0.350 0.000
0.350 0.850 0.000
0.650 0.150 0.000
0.850 0.650 0.000
0.000 0.000 0.500
0.500 0.500 0.500
0.142 0.642 0.500
0.358 0.142 0.500
0.642 0.858 0.500
0.858 0.358 0.500
```

Summary:
The raw formation energy comes out at 163 meV per atom. The calculation puts the final energy at -6.061 eV/atom. For the theoretical density, the calculation gives 8.21 g/cm3. The polymorph energy (0 for the lowest one) is 0.2475 eV per atom.

***

# 12
First-principles (PBE-GGA) data for an optimized crystal structure of NbInSb2, as listed in Alexandria.

```
NbInSb2
1.0
-3.252 3.252 6.609
3.252 -3.252 6.609
3.252 3.252 -6.609
Nb In Sb
2 2 4
direct
0.000 0.000 0.000
0.750 0.250 0.500
0.250 0.750 0.500
0.500 0.500 0.000
0.101 0.625 0.976
0.375 0.351 0.476
0.649 0.125 0.024
0.875 0.899 0.524
```

Summary:
The raw formation energy comes out at 374 meV per atom. The calculation puts the final energy at -4.889 eV/atom. For the theoretical density, the calculation gives 5.36 g/cm3.